[1]
Below is a relaxed YEr4Co crystal, with properties calculated at the PBE level.

Cell: 6.1803 3.5264 8.4430 Å, 77.90 106.03 73.42°
Fractional positions:
Co 0.5000 0.5000 0.5000
Er 0.1252 0.2483 0.3785
Er 0.5478 0.1215 0.2091
Er 0.4522 0.8785 0.7909
Y 0.0000 0.0000 0.0000
Er 0.8748 0.7517 0.6215

Summary:
Density of states at the Fermi level: 8.30 states/eV/cell
Energy of formation: -0.050 eV per atom

---

[2]
Below is a relaxed RbHg5Se4 crystal, with properties calculated at the PBE level.

Cell: 5.4570 9.5281 12.5744 Å, 90.00 90.00 90.00°
Fractional positions:
Hg 0.2596 0.0000 0.5000
Se 0.0468 0.0000 0.7042
Hg 0.3152 0.3137 0.8076
Se 0.5171 0.2455 0.0000
Se 0.5171 0.7545 0.0000
Se 0.0468 0.0000 0.2958
Hg 0.3152 0.3137 0.1924
Hg 0.6848 0.8137 0.3076
Se 0.9532 0.5000 0.2042
Hg 0.6848 0.1863 0.3076
Se 0.4829 0.7455 0.5000
Hg 0.6848 0.8137 0.6924
Rb 0.9967 0.5000 0.5000
Hg 0.3152 0.6863 0.1924
Hg 0.7404 0.5000 0.0000
Se 0.9532 0.5000 0.7958
Hg 0.6848 0.1863 0.6924
Rb 0.0033 0.0000 0.0000
Se 0.4829 0.2545 0.5000
Hg 0.3152 0.6863 0.8076

Summary:
E_form (uncorrected): -2.593 eV per formula unit
Density of states at the Fermi level: 6.76 states/eV/cell

---

[3]
Below is a relaxed Tl3Co5Cl12 crystal, with properties calculated at the PBE level.

Cell: 13.7600 13.7600 13.7600 Å, 109.47 109.47 109.47°
Fractional positions:
Cl 0.9024 0.8169 0.5088
Cl 0.8169 0.9024 0.0088
Tl 0.3750 0.6250 0.2500
Co 0.2500 0.3750 0.6250
Co 0.8750 0.2500 0.6250
Cl 0.1064 0.6919 0.5088
Cl 0.9145 0.8169 0.8081
Cl 0.0976 0.9145 0.1064
Co 0.5000 0.0000 0.5000
Co 0.8750 0.6250 0.7500
Co 0.1250 0.3750 0.2500
Cl 0.5855 0.8936 0.4024
Tl 0.7500 0.3750 0.1250
Tl 0.6250 0.3750 0.7500
Co 0.0000 0.5000 0.0000
Co 0.3750 0.2500 0.1250
Tl 0.1250 0.2500 0.8750
Cl 0.5855 0.6919 0.6831
Tl 0.1250 0.8750 0.7500
Cl 0.6831 0.4912 0.5976
Co 0.5000 0.5000 0.5000
Co 0.3750 0.1250 0.7500
Co 0.5000 0.5000 0.0000
Cl 0.0855 0.9024 0.3936
Tl 0.2500 0.1250 0.3750
Cl 0.5088 0.3169 0.9024
Cl 0.4912 0.6831 0.0976
Co 0.6250 0.7500 0.8750
Cl 0.5976 0.9912 0.6831
Co 0.5000 0.0000 0.0000
Cl 0.6919 0.1064 0.0088
Cl 0.3169 0.5088 0.4024
Cl 0.4024 0.3936 0.5855
Cl 0.1064 0.4145 0.0976
Tl 0.3750 0.7500 0.6250
Cl 0.9145 0.0976 0.6064
Cl 0.4912 0.8081 0.8936
Cl 0.8936 0.5855 0.9024
Cl 0.3936 0.9912 0.8081
Co 0.7500 0.1250 0.8750
Co 0.6250 0.8750 0.2500
Cl 0.0976 0.1831 0.4912
Cl 0.4024 0.0088 0.3169
Cl 0.5088 0.1919 0.1064
Cl 0.1919 0.6831 0.0855
Tl 0.7500 0.8750 0.6250
Co 0.1250 0.7500 0.3750
Cl 0.3169 0.8081 0.4145
Cl 0.1831 0.0976 0.9912
Cl 0.1919 0.5088 0.6064
Cl 0.9024 0.0855 0.8936
Cl 0.6064 0.5976 0.9145
Cl 0.6064 0.0088 0.1919
Cl 0.6919 0.5855 0.1831
Cl 0.0855 0.1831 0.1919
Cl 0.4145 0.1064 0.5976
Cl 0.0088 0.4024 0.8169
Cl 0.9912 0.3936 0.3081
Cl 0.8936 0.3081 0.4912
Cl 0.8169 0.9145 0.3081
Cl 0.3936 0.4024 0.0855
Co 0.7500 0.6250 0.3750
Co 0.2500 0.8750 0.1250
Cl 0.3081 0.8936 0.9912
Tl 0.6250 0.2500 0.3750
Cl 0.6831 0.1919 0.5855
Cl 0.5976 0.6064 0.4145
Cl 0.4145 0.3081 0.3169
Co 0.0000 0.0000 0.5000
Cl 0.8081 0.3169 0.9145
Tl 0.8750 0.7500 0.1250
Cl 0.0088 0.6064 0.6919
Tl 0.2500 0.6250 0.8750
Cl 0.9912 0.5976 0.1831
Cl 0.8081 0.4912 0.3936
Cl 0.3081 0.4145 0.8169
Co 0.0000 0.5000 0.5000
Co 0.0000 0.0000 0.0000
Tl 0.8750 0.1250 0.2500
Cl 0.1831 0.0855 0.6919

Summary:
E_form (uncorrected): -12.642 eV per formula unit
Density of states at the Fermi level: 56.38 states/eV/cell

---

[4]
Below is a relaxed Sc2TlNiC crystal, with properties calculated at the PBE level.

Cell: 4.5946 4.5946 3.8999 Å, 90.00 90.00 90.00°
Fractional positions:
Tl 0.5000 0.5000 0.5000
Ni 0.0000 0.0000 0.5000
C 0.0000 0.0000 0.0000
Sc 0.0000 0.5000 0.0000
Sc 0.5000 0.0000 0.0000

Summary:
Density of states at the Fermi level: 4.44 states/eV/cell
Energy of formation: -0.329 eV per atom

---

[5]
Below is a relaxed LiNdPuIr crystal, with properties calculated at the PBE level.

Cell: 4.9977 4.9977 4.9977 Å, 60.00 60.00 60.00°
Fractional positions:
Pu 0.7500 0.7500 0.7500
Ir 0.5000 0.5000 0.5000
Nd 0.2500 0.2500 0.2500
Li 0.0000 0.0000 0.0000

Summary:
Density of states at the Fermi level: 8.00 states/eV/cell
Energy of formation: -0.270 eV per atom

---

[6]
Below is a relaxed PuScTiO6 crystal, with properties calculated at the PBE level.

Cell: 5.3431 5.3431 9.0710 Å, 90.00 90.00 120.00°
Fractional positions:
O 0.6700 0.6492 0.1323
O 0.3508 0.3300 0.3677
Sc 0.0000 0.0000 0.0000
O 0.6492 0.6700 0.6323
Ti 0.6667 0.3333 0.2500
O 0.0208 0.6700 0.8677
Pu 0.3333 0.6667 0.2500
Ti 0.3333 0.6667 0.7500
O 0.6700 0.0208 0.3677
O 0.9792 0.3300 0.1323
O 0.3300 0.9792 0.6323
O 0.0208 0.3508 0.6323
Sc 0.0000 0.0000 0.5000
Pu 0.6667 0.3333 0.7500
O 0.3300 0.3508 0.8677
O 0.6492 0.9792 0.8677
O 0.9792 0.6492 0.3677
O 0.3508 0.0208 0.1323

Summary:
E_form (uncorrected): -26.621 eV per formula unit
Density of states at the Fermi level: 17.09 states/eV/cell

---

[7]
Below is a relaxed ZrZnCuIr crystal, with properties calculated at the PBE level.

Cell: 4.1061 4.1061 4.7313 Å, 115.72 115.71 90.00°
Fractional positions:
Ir 0.0000 0.0000 0.0000
Cu 0.5000 0.5000 0.0000
Zr 0.2500 0.7500 0.5000
Zn 0.7500 0.2500 0.5000

Summary:
Density of states at the Fermi level: 2.48 states/eV/cell
Energy of formation: -0.390 eV per atom

---

[8]
Below is a relaxed HoErLu crystal, with properties calculated at the PBE level.

Cell: 3.4820 3.4820 7.8296 Å, 102.85 102.85 90.00°
Fractional positions:
Ho 0.0005 0.0005 0.0010
Er 0.3327 0.3327 0.6653
Lu 0.6668 0.6668 0.3337

Summary:
Density of states at the Fermi level: 4.02 states/eV/cell
Energy of formation: 0.028 eV per atom

---

[9]
Below is a relaxed CaSc2AlCo crystal, with properties calculated at the PBE level.

Cell: 4.8653 4.8653 4.7451 Å, 90.00 90.00 90.00°
Fractional positions:
Co 0.0000 0.0000 0.0000
Sc 0.5000 0.0000 0.0000
Al 0.0000 0.0000 0.5000
Sc 0.0000 0.5000 0.0000
Ca 0.5000 0.5000 0.5000

Summary:
Density of states at the Fermi level: 3.20 states/eV/cell
Energy of formation: -0.180 eV per atom

---

[10]
Below is a relaxed K3Bi2O4 crystal, with properties calculated at the PBE level.

Cell: 5.9921 8.8896 8.8896 Å, 94.41 81.77 81.77°
Fractional positions:
O 0.9201 0.6793 0.6528
Bi 0.8716 0.4057 0.1733
Bi 0.1284 0.5943 0.8267
O 0.0799 0.3207 0.3472
O 0.5799 0.3472 0.3207
K 0.0431 0.9991 0.7948
O 0.9396 0.2187 0.0149
Bi 0.6284 0.8267 0.5943
O 0.4201 0.6528 0.6793
K 0.5431 0.7948 0.9991
K 0.7500 0.4027 0.5973
K 0.9569 0.0009 0.2052
O 0.5604 0.9851 0.7813
O 0.0604 0.7813 0.9851
K 0.4569 0.2052 0.0009
Bi 0.3716 0.1733 0.4057
K 0.2500 0.5973 0.4027
O 0.4396 0.0149 0.2187

Summary:
E_form (uncorrected): -10.467 eV per formula unit
Density of states at the Fermi level: 6.96 states/eV/cell

---

[11]
Below is a relaxed Ac4Pr5Sm2 crystal, with properties calculated at the PBE level.

Cell: 12.3261 12.3261 10.0023 Å, 107.54 107.54 17.62°
Fractional positions:
Sm 0.2338 0.2338 0.3604
Pr 0.8697 0.8697 0.9261
Ac 0.9598 0.9598 0.3022
Ac 0.0402 0.0402 0.6978
Sm 0.7662 0.7662 0.6396
Pr 0.7909 0.7909 0.1560
Pr 0.1303 0.1303 0.0739
Pr 0.2091 0.2091 0.8440
Ac 0.6105 0.6105 0.4165
Ac 0.3895 0.3895 0.5835
Pr 0.5000 0.5000 0.0000

Summary:
Density of states at the Fermi level: 15.83 states/eV/cell
Energy of formation: 0.167 eV per atom

---

[12]
Below is a relaxed Nd8Cd2Sb crystal, with properties calculated at the PBE level.

Cell: 5.3371 7.2019 9.9065 Å, 101.23 105.63 90.00°
Fractional positions:
Nd 0.6621 0.9700 0.3243
Cd 0.8140 0.2668 0.6280
Nd 0.3379 0.0300 0.6757
Nd 0.0197 0.7578 0.0394
Nd 0.4062 0.5427 0.8123
Nd 0.2058 0.3100 0.4116
Sb 0.5000 0.0000 0.0000
Nd 0.7942 0.6900 0.5884
Cd 0.1860 0.7332 0.3720
Nd 0.9803 0.2422 0.9606
Nd 0.5938 0.4573 0.1877

Summary:
E_form (uncorrected): -2.661 eV per formula unit
Density of states at the Fermi level: 12.73 states/eV/cell